## Si2HgAu (PBE)

Data for an optimized crystal structure of Si2HgAu.

Cell lengths 4.2441, 4.2441, 4.1394 Å; angles 90.00, 90.00, 90.00 degrees
Last column: nearest neighbours and their distance in Å.
Space group P4/mmm (No. 123)
Inequivalent atoms, fractional coordinates:
1 Si 0.0000 0.5000 0.0000 [2 per cell]  4 Au 2.96, 4 Hg 2.96, 4 Si 3.00
2 Hg 0.0000 0.0000 0.5000 [1 per cell]  8 Si 2.96, 4 Au 3.00
3 Au 0.5000 0.5000 0.5000 [1 per cell]  8 Si 2.96, 4 Hg 3.00

Theoretical density = 10.10 Mg/m³
Total moment = 0.000 μB per formula unit
Uncorrected formation energy = 502 meV per atom